No. 1
A relaxed ReRu4Rh crystal, computed with PBE-GGA.

Geometry as extended XYZ:
```
6
Lattice="0.0000 3.5452 3.5452 3.5452 0.0000 3.5452 3.5452 3.5452 0.0000" Properties=species:S:1:pos:R:3 pbc="T T T"
Re 0.0000 0.0000 0.0000
Ru 4.4282 2.6622 2.6622
Ru 2.6622 4.4282 2.6622
Ru 2.6622 2.6622 4.4282
Ru 4.4282 4.4282 4.4282
Rh 1.7726 1.7726 1.7726
```

Computed properties:
The value obtained for the volume is 14.9 A^3/atom. The value obtained for the total moment is 0.00 μB/cell. As for the crystal system: cubic. For the energy of formation from the pure elements, the calculation gives 0.535 eV/atom.

No. 2
A relaxed ReRuRh6 crystal, computed with PBE-GGA.

Geometry as extended XYZ:
```
8
Lattice="4.3117 -1.9186 0.0000 4.3117 1.9186 0.0000 -3.4208 0.0000 6.8637" Properties=species:S:1:pos:R:3 pbc="T T T"
Re 0.0000 0.0000 0.0000
Ru -1.7104 0.0000 3.4319
Rh 0.8646 0.0000 2.5644
Rh -0.8285 0.0000 6.0147
Rh 1.7330 0.0000 5.1573
Rh 3.4696 0.0000 1.7065
Rh 6.0311 0.0000 0.8491
Rh 4.3380 0.0000 4.2994
```

Computed properties:
The value obtained for the volume is 14.2 A^3/atom. The value obtained for the total moment is 0.00 μB/cell. As for the crystal system: monoclinic. For the energy of formation from the pure elements, the calculation gives -0.006 eV/atom.

No. 3
A relaxed ReRu2Rh8 crystal, computed with PBE-GGA.

Geometry as extended XYZ:
```
11
Lattice="6.9348 -1.9184 0.0000 6.9348 1.9184 0.0000 -1.5800 0.0000 5.8600" Properties=species:S:1:pos:R:3 pbc="T T T"
Re 0.0000 0.0000 0.0000
Ru 3.2369 0.0000 2.1797
Ru 9.0527 0.0000 3.6803
Rh 0.5937 0.0000 2.6236
Rh 1.0757 0.0000 5.3644
Rh 3.7827 0.0000 4.7938
Rh 5.8667 0.0000 1.5754
Rh 6.4230 0.0000 4.2846
Rh 8.5070 0.0000 1.0662
Rh 11.2140 0.0000 0.4956
Rh 11.6959 0.0000 3.2364
```

Computed properties:
The value obtained for the volume is 14.2 A^3/atom. The value obtained for the total moment is 0.00 μB/cell. As for the crystal system: monoclinic. For the energy of formation from the pure elements, the calculation gives -0.022 eV/atom.